No. 1
The following is a DFT calculation (PBE) of crystalline Na3Tl4F12 at its relaxed geometry.

Geometry as POSCAR:
```
Na3Tl4F12
1.0
-4.3963 4.3963 4.3963
4.3963 -4.3963 4.3963
4.3963 4.3963 -4.3963
Na Tl F
3 4 12
Direct
0.0000 0.5000 0.5000
0.5000 0.0000 0.5000
0.5000 0.5000 0.0000
0.0000 0.0000 0.5000
0.0000 0.5000 0.0000
0.5000 0.0000 0.0000
0.5000 0.5000 0.5000
0.1285 0.3193 0.8092
0.1908 0.5101 0.3193
0.1908 0.8715 0.6807
0.3193 0.1908 0.5101
0.3193 0.8092 0.1285
0.4899 0.6807 0.8092
0.5101 0.3193 0.1908
0.6807 0.1908 0.8715
0.6807 0.8092 0.4899
0.8092 0.1285 0.3193
0.8092 0.4899 0.6807
0.8715 0.6807 0.1908
```

Electronic total energy (eV/cell): -75.28
Calculated volume (Å³/atom): 17.888
ρ (Mg/m³): 5.45
Uncorrected formation energy (eV/atom): -2.07

***

No. 2
The following is a DFT calculation (PBE) of crystalline NdDy3Y2Er6 at its relaxed geometry.

Geometry as POSCAR:
```
NdDy3Y2Er6
1.0
3.0670 -5.3070 0.0000
3.0670 5.3070 0.0000
-2.0345 0.0000 11.5534
Nd Dy Y Er
1 3 2 6
Direct
0.0000 0.0000 0.0000
0.1669 0.8331 0.5000
0.5000 0.5000 0.5000
0.8331 0.1669 0.5000
0.3333 0.6667 0.0000
0.6667 0.3333 0.0000
0.0847 0.4180 0.2522
0.2488 0.2488 0.7479
0.4180 0.0847 0.2522
0.5820 0.9153 0.7478
0.7512 0.7512 0.2521
0.9153 0.5820 0.7478
```

ΔE_f (meV/atom): 21
Electronic total energy (eV/cell): -58.63
Calculated volume (Å³/atom): 31.342
ρ (Mg/m³): 8.01

***

No. 3
The following is a DFT calculation (PBE) of crystalline Ca2CdPt at its relaxed geometry.

Geometry as POSCAR:
```
Ca2CdPt
1.0
0.0000 3.5675 3.5675
3.5675 0.0000 3.5675
3.5675 3.5675 0.0000
Ca Cd Pt
2 1 1
Direct
0.0000 0.0000 0.0000
0.2500 0.2500 0.2500
0.7500 0.7500 0.7500
0.5000 0.5000 0.5000
```

ΔE_f (meV/atom): -411
Electronic total energy (eV/cell): -12.60
Calculated volume (Å³/atom): 22.703
ρ (Mg/m³): 7.09

***

No. 4
The following is a DFT calculation (PBE) of crystalline LaThZnAg at its relaxed geometry.

Geometry as POSCAR:
```
LaThZnAg
1.0
0.0000 3.7489 3.7489
3.7489 0.0000 3.7489
3.7489 3.7489 0.0000
La Th Zn Ag
1 1 1 1
Direct
0.0000 0.0000 0.0000
0.5000 0.5000 0.5000
0.7500 0.7500 0.7500
0.2500 0.2500 0.2500
```

ΔE_f (meV/atom): -146
Electronic total energy (eV/cell): -17.06
Calculated volume (Å³/atom): 26.344
ρ (Mg/m³): 8.58